No. 1
Computed, not measured: VGe2W2 after structural relaxation at the PBE level of DFT.

Calculated values
Its energy relative to the elements is 1.18 eV per formula unit.

Cell and atoms, written as POSCAR:
```
VGe2W2
1.0
6.728 0.000 0.000
0.000 6.728 0.000
0.000 0.000 3.393
Ge W V
4 4 2
Cartesian
2.389 5.753 0.000
5.753 4.339 0.000
4.339 0.975 0.000
0.975 2.389 0.000
1.033 4.397 1.697
4.397 5.695 1.697
5.695 2.331 1.697
2.331 1.033 1.697
0.000 0.000 0.000
3.364 3.364 0.000
```

=====

No. 2
Computed, not measured: VSbRh6 after structural relaxation at the PBE level of DFT.

Calculated values
The uncorrected formation energy is -0.34 eV/atom.

Cell and atoms, written as POSCAR:
```
VSbRh6
1.0
-2.338 -1.022 2.924
3.093 -0.561 2.277
-0.355 7.437 2.315
V Sb Rh
1 1 6
Cartesian
-0.178 3.719 1.158
0.000 0.000 0.000
0.377 -0.792 2.601
0.200 2.927 3.758
-1.263 1.461 2.076
-1.430 4.954 3.164
1.452 1.692 1.752
1.285 5.185 2.840
```

=====

No. 3
Computed, not measured: CuAg2Ir after structural relaxation at the PBE level of DFT.

Calculated values
Its excess energy over the best structure of this formula in the dataset is 465.6 meV/atom. Its energy relative to the elements is 2.66 eV per formula unit.

Cell and atoms, written as POSCAR:
```
CuAg2Ir
1.0
-1.040 -3.601 0.089
3.530 -1.000 0.772
-0.600 -1.535 9.862
Ir Cu Ag
2 2 4
Cartesian
0.000 0.000 0.000
-0.197 -3.718 5.191
1.245 -2.300 0.430
2.087 -2.418 5.532
-0.357 -2.752 2.617
1.924 -1.467 2.959
0.491 -2.878 7.721
1.721 -5.175 8.148
```

=====

No. 4
Computed, not measured: LaNbMo after structural relaxation at the PBE level of DFT.

Calculated values
Its excess energy over the best structure of this formula in the dataset is 102.3 meV/atom. Its energy relative to the elements is 0.90 eV per formula unit.

Cell and atoms, written as POSCAR:
```
LaNbMo
1.0
-1.578 -1.563 5.870
0.399 -4.649 -1.131
4.734 0.534 -0.528
La Nb Mo
2 2 2
Cartesian
-0.593 -1.238 4.880
1.973 -3.295 4.051
3.669 0.067 1.019
1.501 -2.525 0.717
1.470 -0.485 2.511
4.037 -2.542 1.682
```

=====

Values for calculated volume, Å³/f.u., ordered as above
76.8; 117.5; 67.7; 66.8